# 1
Here is an optimized crystal structure of Zn2Ge from OQMD via LeMat-Bulk. Energies are from PBE.

Output
total DFT energy (no corrections): -53.191 eV/cell

Cell and atoms, written as extended XYZ:
```
24
Lattice="4.9496 11.4772 0.0000 -5.0179 5.7681 0.0000 0.0000 0.0000 4.7162" Properties=species:S:1:pos:R:3 pbc="T T T"
Zn 2.4726 13.0000 0.0000
Zn 1.6720 8.5949 2.3581
Zn -3.3892 8.5614 2.3581
Zn -0.7730 10.1249 2.3581
Zn 1.6270 14.3818 2.3581
Zn -2.5453 7.1771 0.0000
Zn -0.1429 11.4361 0.0000
Zn -0.9232 1.4521 2.3581
Zn -0.8983 12.8561 2.3581
Zn 0.0753 2.8640 0.0000
Zn -3.3446 5.7337 2.3581
Zn -2.5255 4.3485 0.0000
Zn -2.4755 9.9288 0.0000
Zn 2.4263 7.1939 0.0000
Zn -0.0188 8.7040 0.0000
Zn 1.5587 11.6310 2.3581
Ge -0.0337 5.7892 0.0000
Ge 4.1311 10.0010 2.3581
Ge -0.0053 14.1549 0.0000
Ge -0.8474 4.1993 2.3581
Ge -0.0031 0.1158 0.0000
Ge 2.3601 10.1344 0.0000
Ge -0.9131 7.4048 2.3581
Ge 1.7411 5.6586 2.3581
```

=====

# 2
Here is an optimized crystal structure of SrGdIn4Ni2 from OQMD via LeMat-Bulk. Energies are from PBE.

Output
magnetization: 0.000 μB/atom
total DFT energy (no corrections): -31.413 eV/cell

Cell and atoms, written as extended XYZ:
```
8
Lattice="7.6797 0.0000 0.0000 0.0000 2.1856 5.3002 0.0000 -2.1856 5.3002" Properties=species:S:1:pos:R:3 pbc="T T T"
Gd 0.0000 0.0000 4.6658
Ni 0.0000 0.0000 7.6240
Ni 3.8398 0.0000 2.9690
In 2.2875 0.0000 9.0048
In 6.1902 0.0000 1.5993
In 5.3922 0.0000 9.0048
In 1.4895 0.0000 1.5993
Sr 3.8398 0.0000 5.9343
```